Entry 1:
# YAs2Cl, relaxed, DFT PBEsol
data_YAs2Cl
_chemical_formula_sum 'Y4 As8 Cl4'
_cell_length_a 6.984
_cell_length_b 6.984
_cell_length_c 6.984
_cell_angle_alpha 90.00
_cell_angle_beta 90.00
_cell_angle_gamma 90.00
_space_group_name_H-M_alt 'F m -3 m'
_space_group_IT_number 225
_space_group_name_Hall '-F 4 2 3'
loop_
_atom_site_label
_atom_site_fract_x
_atom_site_fract_y
_atom_site_fract_z
Y1 0.000 0.000 0.000
As1 0.250 0.250 0.250
Cl1 0.000 0.000 0.500
# - Total magnetization: 0.002 Bohr magnetons per cell
# - ΔE_f (raw): -0.90 eV/f.u.

Entry 2:
# Sr3Si4Rh4, relaxed, DFT PBEsol
data_Sr3Si4Rh4
_chemical_formula_sum 'Sr6 Si8 Rh8'
_cell_length_a 4.012
_cell_length_b 4.367
_cell_length_c 24.358
_cell_angle_alpha 90.00
_cell_angle_beta 90.00
_cell_angle_gamma 90.00
_space_group_name_H-M_alt 'I m m m'
_space_group_IT_number 71
_space_group_name_Hall '-I 2 2'
loop_
_atom_site_label
_atom_site_fract_x
_atom_site_fract_y
_atom_site_fract_z
Sr1 0.000 0.000 0.000
Sr2 0.000 0.500 0.356
Si1 0.000 0.000 0.451
Si2 0.000 0.500 0.201
Rh1 0.000 0.000 0.249
Rh2 0.000 0.500 0.101
# - Total magnetization: 0.001 Bohr magnetons per cell
# - ΔE_f (raw): -8.47 eV/f.u.

Entry 3:
# TaHgP, relaxed, DFT PBEsol
data_TaHgP
_chemical_formula_sum 'Ta4 Hg4 P4'
_cell_length_a 6.326
_cell_length_b 6.326
_cell_length_c 6.326
_cell_angle_alpha 90.00
_cell_angle_beta 90.00
_cell_angle_gamma 90.00
_space_group_name_H-M_alt 'F -4 3 m'
_space_group_IT_number 216
_space_group_name_Hall 'F -4 2 3'
loop_
_atom_site_label
_atom_site_fract_x
_atom_site_fract_y
_atom_site_fract_z
Ta1 0.000 0.000 0.000
Hg1 0.250 0.250 0.750
P1 0.000 0.000 0.500
# - ΔH_f (0 K): 1325 meV/atom
# - Total magnetization: 4.430 Bohr magnetons per cell

Entry 4:
# BaRhNF2, relaxed, DFT PBEsol
data_BaRhNF2
_chemical_formula_sum 'Ba1 Rh1 N1 F2'
_cell_length_a 4.494
_cell_length_b 4.494
_cell_length_c 3.732
_cell_angle_alpha 90.00
_cell_angle_beta 90.00
_cell_angle_gamma 90.00
_space_group_name_H-M_alt 'P 4/m m m'
_space_group_IT_number 123
_space_group_name_Hall '-P 4 2'
loop_
_atom_site_label
_atom_site_fract_x
_atom_site_fract_y
_atom_site_fract_z
Ba1 0.000 0.000 0.000
Rh1 0.500 0.500 0.500
N1 0.500 0.500 0.000
F1 0.000 0.500 0.500
# - Total magnetization: 0.000 Bohr magnetons per cell
# - ΔE_f (raw): -7.66 eV/f.u.

Entry 5:
# KCu4Se3, relaxed, DFT PBEsol
data_KCu4Se3
_chemical_formula_sum 'K1 Cu4 Se3'
_cell_length_a 3.917
_cell_length_b 3.917
_cell_length_c 9.703
_cell_angle_alpha 90.00
_cell_angle_beta 90.00
_cell_angle_gamma 90.00
_space_group_name_H-M_alt 'P 4/m m m'
_space_group_IT_number 123
_space_group_name_Hall '-P 4 2'
loop_
_atom_site_label
_atom_site_fract_x
_atom_site_fract_y
_atom_site_fract_z
K1 0.000 0.000 0.000
Cu1 0.000 0.500 0.338
Se1 0.000 0.000 0.500
Se2 0.500 0.500 0.195
# - Total magnetization: 0.000 Bohr magnetons per cell
# - ΔE_f (raw): -2.82 eV/f.u.

Entry 6:
# Rb2AlB2, relaxed, DFT PBEsol
data_Rb2AlB2
_chemical_formula_sum 'Rb4 Al2 B4'
_cell_length_a 6.707
_cell_length_b 6.707
_cell_length_c 5.792
_cell_angle_alpha 90.00
_cell_angle_beta 90.00
_cell_angle_gamma 90.00
_space_group_name_H-M_alt 'I 4/m m m'
_space_group_IT_number 139
_space_group_name_Hall '-I 4 2'
loop_
_atom_site_label
_atom_site_fract_x
_atom_site_fract_y
_atom_site_fract_z
Rb1 0.000 0.500 0.250
Al1 0.000 0.000 0.000
B1 0.000 0.000 0.363
# - ΔH_f (0 K): 787 meV/atom
# - Total magnetization: 0.002 Bohr magnetons per cell

Entry 7:
# Sc3Te4, relaxed, DFT PBEsol
data_Sc3Te4
_chemical_formula_sum 'Sc9 Te12'
_cell_length_a 4.0657
_cell_length_b 4.0657
_cell_length_c 40.3856
_cell_angle_alpha 90.00
_cell_angle_beta 90.00
_cell_angle_gamma 120.00
_space_group_name_H-M_alt 'R 3 m'
_space_group_IT_number 160
_space_group_name_Hall 'R 3 -2"'
loop_
_atom_site_label
_atom_site_fract_x
_atom_site_fract_y
_atom_site_fract_z
Sc1 0.0000 0.0000 0.0000
Sc2 0.0000 0.0000 0.0892
Sc3 0.0000 0.0000 0.5786
Te1 0.0000 0.0000 0.2906
Te2 0.0000 0.0000 0.4605
Te3 0.0000 0.0000 0.7094
Te4 0.0000 0.0000 0.8730
# - Total magnetization: 0.001 Bohr magnetons per cell
# - ΔE_f (raw): -8.30 eV/f.u.

Entry 8:
# Ba2ZnSe, relaxed, DFT PBEsol
data_Ba2ZnSe
_chemical_formula_sum 'Ba8 Zn4 Se4'
_cell_length_a 7.810
_cell_length_b 7.810
_cell_length_c 7.810
_cell_angle_alpha 90.00
_cell_angle_beta 90.00
_cell_angle_gamma 90.00
_space_group_name_H-M_alt 'F -4 3 m'
_space_group_IT_number 216
_space_group_name_Hall 'F -4 2 3'
loop_
_atom_site_label
_atom_site_fract_x
_atom_site_fract_y
_atom_site_fract_z
Ba1 0.000 0.000 0.000
Ba2 0.250 0.250 0.250
Zn1 0.250 0.250 0.750
Se1 0.000 0.000 0.500
# - Total magnetization: 0.001 Bohr magnetons per cell
# - ΔE_f (raw): -1.33 eV/f.u.